Material: KCa9MnP7O28
Method: DFT, PBE with a Hubbard U
State: relaxed

Final energy, eV/atom: -7.224

Structure (CIF):
```
data_KCa9MnP7O28
_chemical_formula_sum 'K6 Ca54 Mn6 P42 O168'
_symmetry_space_group_name_H-M 'R 3 c'
_symmetry_Int_Tables_number 161
_symmetry_space_group_name_Hall 'R 3 -2"c'
_cell_length_a 10.5504
_cell_length_b 10.5504
_cell_length_c 37.3812
_cell_angle_alpha 90.00
_cell_angle_beta 90.00
_cell_angle_gamma 120.00
loop_
_atom_site_label
_atom_site_type_symbol
_atom_site_fract_x
_atom_site_fract_y
_atom_site_fract_z
K1 K 0.0000 0.0000 0.0000
Ca1 Ca 0.0603 0.5251 0.4159
Ca2 Ca 0.0705 0.5204 0.3096
Ca3 Ca 0.1752 0.3879 0.0498
Mn1 Mn 0.0000 0.0000 0.3172
P1 P 0.0000 0.0000 0.0845
P2 P 0.0175 0.4874 0.6187
P3 P 0.1491 0.3452 0.8488
O1 O 0.0000 0.0000 0.1261
O2 O 0.0070 0.1435 0.0711
O3 O 0.0179 0.2354 0.4395
O4 O 0.0231 0.2880 0.1943
O5 O 0.0527 0.4736 0.6582
O6 O 0.0577 0.3859 0.5968
O7 O 0.0737 0.1775 0.8571
O8 O 0.1222 0.4215 0.3680
O9 O 0.1763 0.3759 0.8082
O10 O 0.1816 0.0884 0.2792
```